Material: Sr2IO6
Method: DFT, PBE-GGA
State: relaxed

It has space group P4/mnc (No. 128), with a = 5.7159 Å, b = 5.7159 Å, c = 8.6023 Å, α = 90.00°, β = 90.00° and γ = 90.00°. The distinct sites, in fractional coordinates, are Sr at (0.0000, 0.5000, 0.2500), I at (0.0000, 0.0000, 0.0000), O at (0.0000, 0.0000, 0.2210) and O at (0.1541, 0.2925, 0.0000).

For the size of the total moment, the calculation gives 0.12 μB per atom. The offset from the most stable computed form comes out at 0.0000 eV per atom. The value obtained for the total DFT energy (no corrections) is -5.368 eV per atom. The uncorrected formation energy comes out at -1.52 eV per atom.